This record from Alexandria describes Ac3Mg2Si2Pd4 after structural relaxation. The functional is PBE.

The space group is P-3m1 (No. 164) and the conventional cell measures 4.3969, 4.3969 and 16.0909 Å, with angles of 90.00, 90.00 and 120.00 degrees. The inequivalent atoms are Ac at (0.0000, 0.0000, 0.0000), Ac at (0.0000, 0.0000, 0.2682), Mg at (0.3333, 0.6667, 0.5564), Si at (0.3333, 0.6667, 0.1359), Pd at (0.3333, 0.6667, 0.3859) and Pd at (0.3333, 0.6667, 0.8624).

As for the formation energy from raw total energies: -0.709 eV per atom. The raw total energy is -4.99 eV per atom. The crystal system is trigonal. Its density of states at the Fermi level is 7.047 states/eV/cell.